# 1
# HfZr2NiAs4Pd3 PBE optimized geometry
# DFT total energy: -6.882 eV/atom
# E above lowest polymorph: 6 meV/atom
data_HfZr2NiAs4Pd3
_space_group_name_H-M_alt 'P 1 m 1'
_space_group_IT_number 6
_cell_length_a 6.573
_cell_length_b 3.917
_cell_length_c 7.642
_cell_angle_alpha 90.00
_cell_angle_beta 90.44
_cell_angle_gamma 90.00
loop_
_space_group_symop_operation_xyz
'x,y,z'
'x,-y,z'
loop_
_atom_site_label
_atom_site_type_symbol
_atom_site_fract_x
_atom_site_fract_y
_atom_site_fract_z
_atom_site_occupancy
Hf1 Hf 0.000 0.000 0.000 1
Zr1 Zr 0.498 0.000 0.141 1
Zr2 Zr 0.571 0.500 0.513 1
Ni1 Ni 0.891 0.000 0.373 1
As1 As 0.272 0.000 0.455 1
As2 As 0.274 0.500 0.941 1
As3 As 0.791 0.500 0.209 1
As4 As 0.826 0.000 0.682 1
Pd1 Pd 0.177 0.500 0.266 1
Pd2 Pd 0.409 0.000 0.763 1
Pd3 Pd 0.689 0.500 0.885 1

# 2
# HoTaAsO PBE optimized geometry
# DFT total energy: -7.872 eV/atom
# E above lowest polymorph: 486 meV/atom
data_HoTaAsO
_space_group_name_H-M_alt 'P m c 21'
_space_group_IT_number 26
_cell_length_a 3.759
_cell_length_b 7.352
_cell_length_c 5.704
_cell_angle_alpha 90.00
_cell_angle_beta 90.00
_cell_angle_gamma 90.00
loop_
_space_group_symop_operation_xyz
'x,y,z'
'-x,-y,z+1/2'
'-x,y,z'
'x,-y,z+1/2'
loop_
_atom_site_label
_atom_site_type_symbol
_atom_site_fract_x
_atom_site_fract_y
_atom_site_fract_z
_atom_site_occupancy
Ho1 Ho 0.000 0.230 0.000 1
Ta1 Ta 0.500 0.407 0.505 1
As1 As 0.000 0.162 0.487 1
O1 O 0.500 0.332 0.860 1

# 3
# KCoP PBE optimized geometry
# DFT total energy: -3.796 eV/atom
data_KCoP
_space_group_name_H-M_alt 'P -6 m 2'
_space_group_IT_number 187
_space_group_name_Hall 'P -6 2'
_cell_length_a 4.4599
_cell_length_b 4.4599
_cell_length_c 12.1345
_cell_angle_alpha 90.00
_cell_angle_beta 90.00
_cell_angle_gamma 120.00
loop_
_atom_site_label
_atom_site_type_symbol
_atom_site_fract_x
_atom_site_fract_y
_atom_site_fract_z
_atom_site_occupancy
K1 K 0.0000 0.0000 0.0000 1
K2 K 0.3333 0.6667 0.2733 1
Co1 Co 0.0000 0.0000 0.4181 1
Co2 Co 0.3333 0.6667 0.0000 1
P1 P 0.6667 0.3333 0.0895 1
P2 P 0.6667 0.3333 0.5000 1

# 4
# Zr2H5 PBE optimized geometry
# DFT total energy: -5.276 eV/atom
# E above lowest polymorph: 41 meV/atom
data_Zr2H5
_space_group_name_H-M_alt 'I b a m'
_space_group_IT_number 72
_space_group_name_Hall '-I 2 2c'
_cell_length_a 5.133
_cell_length_b 10.232
_cell_length_c 4.197
_cell_angle_alpha 90.00
_cell_angle_beta 90.00
_cell_angle_gamma 90.00
loop_
_atom_site_label
_atom_site_type_symbol
_atom_site_fract_x
_atom_site_fract_y
_atom_site_fract_z
_atom_site_occupancy
Zr1 Zr 0.240 0.123 0.000 1
H1 H 0.000 0.255 0.250 1
H2 H 0.000 0.500 0.250 1
H3 H 0.150 0.076 0.500 1

# 5
# NaFeSb PBE optimized geometry
# DFT total energy: -3.702 eV/atom
data_NaFeSb
_space_group_name_H-M_alt 'F -4 3 m'
_space_group_IT_number 216
_space_group_name_Hall 'F -4 2 3'
_cell_length_a 6.571
_cell_length_b 6.571
_cell_length_c 6.571
_cell_angle_alpha 90.00
_cell_angle_beta 90.00
_cell_angle_gamma 90.00
loop_
_atom_site_label
_atom_site_type_symbol
_atom_site_fract_x
_atom_site_fract_y
_atom_site_fract_z
_atom_site_occupancy
Na1 Na 0.000 0.000 0.000 1
Fe1 Fe 0.250 0.250 0.750 1
Sb1 Sb 0.250 0.250 0.250 1

# 6
# RbLiPrTe3 PBE optimized geometry
# DFT total energy: -3.924 eV/atom
data_RbLiPrTe3
_space_group_name_H-M_alt 'C m c m'
_space_group_IT_number 63
_space_group_name_Hall '-C 2c 2'
_cell_length_a 4.600
_cell_length_b 15.281
_cell_length_c 12.228
_cell_angle_alpha 90.00
_cell_angle_beta 90.00
_cell_angle_gamma 90.00
loop_
_atom_site_label
_atom_site_type_symbol
_atom_site_fract_x
_atom_site_fract_y
_atom_site_fract_z
_atom_site_occupancy
Rb1 Rb 0.000 0.240 0.250 1
Li1 Li 0.000 0.048 0.750 1
Pr1 Pr 0.000 0.500 0.000 1
Te1 Te 0.000 0.139 0.551 1
Te2 Te 0.000 0.448 0.750 1

Asked for spin magnetization across the records above, the calculation gives 0.011, 0.019, 1.659, 0.002, 3.354, 0.015 μB/f.u. in order.
Asked for ρ across the records above, the calculation gives 8.76, 9.20, 3.07, 5.65, 4.70, 4.76 g/cm3 in order.